# 1
This record from the Alexandria database describes a relaxed structure of Ta5Mo3. The functional is GGA-PBE.

Properties
**Total moment**: 0.00 μB/cell
**Crystal system**: orthorhombic
**Total energy**: -11.56 eV/atom
**Energy of formation**: -91 meV/atom

Cell lengths 3.238, 4.674, 18.228 Å; angles 90.00, 90.00, 90.00 degrees
Space group Imm2 (No. 44)
Symmetry-distinct sites (fractional):
Ta 0.000 0.000 0.000 [2 per cell]
Ta 0.000 0.000 0.242 [2 per cell]
Ta 0.000 0.000 0.742 [2 per cell]
Ta 0.000 0.500 0.370 [2 per cell]
Ta 0.000 0.500 0.875 [2 per cell]
Mo 0.000 0.000 0.500 [2 per cell]
Mo 0.000 0.500 0.118 [2 per cell]
Mo 0.000 0.500 0.621 [2 per cell]

# 2
This record from the Alexandria database describes a relaxed structure of H12Pb3Au5. The functional is GGA-PBE.

Properties
**Total moment**: 0.00 μB/cell
**Crystal system**: cubic
**Total energy**: -3.06 eV/atom

Cell lengths 12.722, 12.722, 12.722 Å; angles 90.00, 90.00, 90.00 degrees
Space group Ia-3d (No. 230)
Symmetry-distinct sites (fractional):
H 0.037 0.139 0.960 [96 per cell]
Pb 0.000 0.250 0.125 [24 per cell]
Au 0.000 0.000 0.000 [16 per cell]
Au 0.000 0.250 0.375 [24 per cell]

# 3
This record from the Alexandria database describes a relaxed structure of CsTl2Pd4. The functional is GGA-PBE.

Properties
**Total moment**: 0.00 μB/cell
**Crystal system**: tetragonal
**Total energy**: -3.91 eV/atom
**Energy of formation**: -144 meV/atom

Cell lengths 8.736, 8.736, 8.439 Å; angles 90.00, 90.00, 90.00 degrees
Space group I4/mcm (No. 140)
Symmetry-distinct sites (fractional):
Cs 0.000 0.000 0.250 [4 per cell]
Tl 0.157 0.343 0.000 [8 per cell]
Pd 0.138 0.362 0.337 [16 per cell]

# 4
This record from the Alexandria database describes a relaxed structure of Er3Tm2Mg. The functional is GGA-PBE.

Properties
**Total moment**: 0.01 μB/cell
**Crystal system**: monoclinic
**Total energy**: -4.02 eV/atom
**Energy of formation**: 21 meV/atom

Cell lengths 17.094, 6.970, 6.123 Å; angles 90.00, 103.17, 90.00 degrees
Space group C2/c (No. 15)
Symmetry-distinct sites (fractional):
Er 0.000 0.128 0.250 [4 per cell]
Er 0.168 0.124 0.027 [8 per cell]
Tm 0.166 0.377 0.535 [8 per cell]
Mg 0.000 0.373 0.750 [4 per cell]

# 5
This record from the Alexandria database describes a relaxed structure of CrAgTe. The functional is GGA-PBE.

Properties
**Total moment**: 3.00 μB/cell
**Crystal system**: trigonal
**Formation energy (no corrections)**: 302 meV/atom
**Total energy**: -4.90 eV/atom

Cell lengths 3.6077, 3.6077, 6.0886 Å; angles 90.00, 90.00, 120.00 degrees
Space group P3m1 (No. 156)
Symmetry-distinct sites (fractional):
Cr 0.0000 0.0000 0.0000 [1 per cell]
Ag 0.3333 0.6667 0.6951 [1 per cell]
Te 0.6667 0.3333 0.2664 [1 per cell]

# 6
This record from the Alexandria database describes a relaxed structure of LaHo2Cl. The functional is GGA-PBE.

Properties
**Total moment**: 0.00 μB/cell
**Crystal system**: trigonal
**Formation energy (no corrections)**: -408 meV/atom
**Total energy**: -4.39 eV/atom

Cell lengths 3.4344, 3.4344, 33.7076 Å; angles 90.00, 90.00, 120.00 degrees
Space group R-3m (No. 166, hexagonal axes)
Symmetry-distinct sites (fractional):
La 0.0000 0.0000 0.0000 [3 per cell]
Ho 0.0000 0.0000 0.1012 [6 per cell]
Cl 0.0000 0.0000 0.5000 [3 per cell]

# 7
This record from the Alexandria database describes a relaxed structure of Ca3TbU2As6. The functional is GGA-PBE.

Properties
**Total moment**: 6.02 μB/cell
**Crystal system**: monoclinic
**Total energy**: -6.19 eV/atom
**Energy of formation**: -1102 meV/atom

Cell lengths 7.233, 12.526, 7.249 Å; angles 90.00, 109.41, 90.00 degrees
Space group C2/m (No. 12)
Symmetry-distinct sites (fractional):
Ca 0.000 0.000 0.000 [2 per cell]
Ca 0.000 0.335 0.000 [4 per cell]
Tb 0.000 0.500 0.500 [2 per cell]
U 0.000 0.167 0.500 [4 per cell]
As 0.236 0.000 0.731 [4 per cell]
As 0.248 0.329 0.731 [8 per cell]

# 8
This record from the Alexandria database describes a relaxed structure of La2SnHPd. The functional is GGA-PBE.

Properties
**Total moment**: 0.00 μB/cell
**Crystal system**: tetragonal
**Total energy**: -5.12 eV/atom

Cell lengths 5.178, 5.178, 4.203 Å; angles 90.00, 90.00, 90.00 degrees
Space group P4/mmm (No. 123)
Symmetry-distinct sites (fractional):
La 0.000 0.500 0.000 [2 per cell]
Sn 0.000 0.000 0.500 [1 per cell]
H 0.500 0.500 0.000 [1 per cell]
Pd 0.500 0.500 0.500 [1 per cell]

# 9
This record from the Alexandria database describes a relaxed structure of InNiSn. The functional is GGA-PBE.

Properties
**Total moment**: 0.00 μB/cell
**Crystal system**: tetragonal
**Total energy**: -4.16 eV/atom
**Energy of formation**: 15 meV/atom

Cell lengths 3.118, 3.118, 12.490 Å; angles 90.00, 90.00, 90.00 degrees
Space group I4mm (No. 107)
Symmetry-distinct sites (fractional):
In 0.000 0.000 0.000 [2 per cell]
Ni 0.000 0.000 0.634 [2 per cell]
Sn 0.000 0.000 0.268 [2 per cell]

# 10
This record from the Alexandria database describes a relaxed structure of AcTm2Al9. The functional is GGA-PBE.

Properties
**Total moment**: 0.00 μB/cell
**Crystal system**: trigonal
**Total energy**: -4.26 eV/atom
**Energy of formation**: -368 meV/atom

Cell lengths 5.6533, 5.6533, 26.3577 Å; angles 90.00, 90.00, 120.00 degrees
Space group R-3m (No. 166, hexagonal axes)
Symmetry-distinct sites (fractional):
Ac 0.0000 0.0000 0.0000 [3 per cell]
Tm 0.0000 0.0000 0.1420 [6 per cell]
Al 0.0000 0.0000 0.3361 [6 per cell]
Al 0.0000 0.0000 0.5000 [3 per cell]
Al 0.0081 0.5041 0.9148 [18 per cell]

# 11
This record from the Alexandria database describes a relaxed structure of SrLaNd2As4. The functional is GGA-PBE.

Properties
**Total moment**: 0.00 μB/cell
**Crystal system**: monoclinic
**Total energy**: -5.70 eV/atom
**Energy of formation**: -1358 meV/atom

Cell lengths 7.514, 4.335, 7.570 Å; angles 90.00, 109.36, 90.00 degrees
Space group P2/m (No. 10)
Symmetry-distinct sites (fractional):
Sr 0.000 0.000 0.000 [1 per cell]
La 0.500 0.500 0.000 [1 per cell]
Nd 0.000 0.500 0.500 [1 per cell]
Nd 0.500 0.000 0.500 [1 per cell]
As 0.252 0.000 0.742 [2 per cell]
As 0.259 0.500 0.262 [2 per cell]

# 12
This record from the Alexandria database describes a relaxed structure of NdMnNbSi2. The functional is GGA-PBE.

Properties
**Total moment**: 3.30 μB/cell
**Crystal system**: tetragonal
**Formation energy (no corrections)**: -535 meV/atom
**Total energy**: -7.51 eV/atom

Cell lengths 4.023, 4.023, 11.332 Å; angles 90.00, 90.00, 90.00 degrees
Space group I-4m2 (No. 119)
Symmetry-distinct sites (fractional):
Nd 0.000 0.000 0.000 [2 per cell]
Mn 0.000 0.500 0.250 [2 per cell]
Nb 0.000 0.500 0.750 [2 per cell]
Si 0.000 0.000 0.390 [4 per cell]

Among the records above, which one has the lowest total energy? Ta5Mo3